This record from Alexandria via LeMat-Bulk describes an optimized crystal structure of TmThZrN3. The functional is PBE-GGA.

Calculated values
- mass density (kg/m3) = 10101
- ΔE_f (raw) (eV/atom) = -1.597
- size of the total moment (μB/f.u.) = 0.0
- total energy (eV per cell) = -109.990

Geometry as POSCAR:
```
TmThZrN3
1.0
5.9046 0.0000 0.0000
0.0000 3.4392 0.0000
-1.9658 0.0000 8.6488
Tm Th Zr N
2 2 2 6
direct
0.2309 0.2500 0.4529
0.7691 0.7500 0.5471
0.3503 0.7500 0.8087
0.6497 0.2500 0.1913
0.1333 0.7500 0.1381
0.8667 0.2500 0.8619
0.0469 0.2500 0.6625
0.2527 0.2500 0.0076
0.4451 0.7500 0.3309
0.5549 0.2500 0.6691
0.7473 0.7500 0.9924
0.9531 0.7500 0.3375
```

=====

This record from Alexandria via LeMat-Bulk describes an optimized crystal structure of Th2U2N7. The functional is PBE-GGA.

Calculated values
- mass density (kg/m3) = 10614
- ΔE_f (raw) (eV/atom) = -1.282
- size of the total moment (μB/f.u.) = 0.0
- total energy (eV per cell) = -109.791
- distance to the lowest polymorph of the same formula (meV per atom) = 172

Geometry as POSCAR:
```
Th2U2N7
1.0
3.6725 -4.0214 0.0000
3.6725 4.0214 0.0000
0.0000 0.0000 5.4990
Th U N
2 2 7
direct
0.2448 0.2448 0.0000
0.7552 0.7552 0.0000
0.2296 0.7704 0.5000
0.7704 0.2296 0.5000
0.0000 0.0000 0.2618
0.0000 0.0000 0.7382
0.0000 0.5000 0.2602
0.0000 0.5000 0.7398
0.5000 0.0000 0.2602
0.5000 0.0000 0.7398
0.5000 0.5000 0.5000
```

=====

This record from Alexandria via LeMat-Bulk describes an optimized crystal structure of Th3UN6. The functional is PBE-GGA.

Calculated values
- mass density (kg/m3) = 9777
- ΔE_f (raw) (eV/atom) = -1.612
- size of the total moment (μB/f.u.) = 0.0
- total energy (eV per cell) = -199.248

Geometry as POSCAR:
```
Th3UN6
1.0
5.0440 2.9122 3.9244
-5.0440 2.9122 3.9244
0.0000 -5.8243 3.9244
Th U N
6 2 12
direct
0.0548 0.7514 0.5602
0.2486 0.4398 0.9452
0.4398 0.9452 0.2486
0.5602 0.0548 0.7514
0.7514 0.5602 0.0548
0.9452 0.2486 0.4398
0.0000 0.0000 0.0000
0.5000 0.5000 0.5000
0.0331 0.7004 0.9060
0.0940 0.9669 0.2996
0.2016 0.4434 0.5839
0.2996 0.0940 0.9669
0.4161 0.7984 0.5566
0.4434 0.5839 0.2016
0.5566 0.4161 0.7984
0.5839 0.2016 0.4434
0.7004 0.9060 0.0331
0.7984 0.5566 0.4161
0.9060 0.0331 0.7004
0.9669 0.2996 0.0940
```

=====

This record from Alexandria via LeMat-Bulk describes an optimized crystal structure of Th2U2N7. The functional is PBE-GGA.

Calculated values
- mass density (kg/m3) = 10448
- ΔE_f (raw) (eV/atom) = -1.453
- size of the total moment (μB/f.u.) = 0.0
- total energy (eV per cell) = -223.359
- distance to the lowest polymorph of the same formula (meV per atom) = 0

Geometry as POSCAR:
```
Th2U2N7
1.0
0.0000 5.4848 5.4848
5.4848 0.0000 5.4848
5.4848 5.4848 0.0000
Th U N
4 4 14
direct
0.0000 0.0000 0.0000
0.0000 0.0000 0.5000
0.0000 0.5000 0.0000
0.5000 0.0000 0.0000
0.0000 0.5000 0.5000
0.5000 0.0000 0.5000
0.5000 0.5000 0.0000
0.5000 0.5000 0.5000
0.1250 0.1250 0.1250
0.1626 0.1626 0.5874
0.1626 0.5874 0.1626
0.1626 0.5874 0.5874
0.4126 0.4126 0.8374
0.4126 0.8374 0.4126
0.4126 0.8374 0.8374
0.5874 0.1626 0.1626
0.5874 0.1626 0.5874
0.5874 0.5874 0.1626
0.8374 0.4126 0.4126
0.8374 0.4126 0.8374
0.8374 0.8374 0.4126
0.8750 0.8750 0.8750
```

=====

This record from Alexandria via LeMat-Bulk describes an optimized crystal structure of Th4UN5. The functional is PBE-GGA.

Calculated values
- mass density (kg/m3) = 12318
- ΔE_f (raw) (eV/atom) = -1.499
- size of the total moment (μB/f.u.) = 0.7
- total energy (eV per cell) = -97.586

Geometry as POSCAR:
```
Th4UN5
1.0
-4.0289 4.0289 2.5668
4.0289 -4.0289 2.5668
4.0289 4.0289 -2.5668
Th U N
4 1 5
direct
0.0979 0.7008 0.7987
0.2992 0.0979 0.3971
0.7008 0.9021 0.6029
0.9021 0.2992 0.2013
0.5000 0.5000 0.0000
0.0000 0.0000 0.0000
0.2195 0.4032 0.6226
0.4032 0.7805 0.1837
0.5968 0.2195 0.8163
0.7805 0.5968 0.3774
```

=====

This record from Alexandria via LeMat-Bulk describes an optimized crystal structure of Th2UN5. The functional is PBE-GGA.

Calculated values
- mass density (kg/m3) = 9990
- ΔE_f (raw) (eV/atom) = -1.372
- size of the total moment (μB/f.u.) = 0.0
- total energy (eV per cell) = -314.917

Geometry as POSCAR:
```
Th2UN5
1.0
7.7370 0.0000 0.0000
0.0000 4.0189 0.0000
0.0000 0.0000 16.5102
Th U N
8 4 20
direct
0.1178 0.2500 0.0862
0.1190 0.2500 0.7451
0.3810 0.7500 0.2451
0.3822 0.7500 0.5862
0.6178 0.2500 0.4138
0.6190 0.2500 0.7549
0.8810 0.7500 0.2549
0.8822 0.7500 0.9138
0.1300 0.2500 0.4289
0.3700 0.7500 0.9289
0.6300 0.2500 0.0711
0.8700 0.7500 0.5711
0.0752 0.7500 0.6542
0.0947 0.7500 0.4710
0.1230 0.7500 0.1765
0.1469 0.7500 0.0005
0.1737 0.7500 0.8341
0.3263 0.2500 0.3341
0.3531 0.2500 0.5005
0.3770 0.2500 0.6765
0.4053 0.2500 0.9710
0.4248 0.2500 0.1542
0.5752 0.7500 0.8458
0.5947 0.7500 0.0290
0.6230 0.7500 0.3235
0.6469 0.7500 0.4995
0.6737 0.7500 0.6659
0.8263 0.2500 0.1659
0.8531 0.2500 0.9995
0.8770 0.2500 0.8235
0.9053 0.2500 0.5290
0.9248 0.2500 0.3458
```

=====

This record from Alexandria via LeMat-Bulk describes an optimized crystal structure of YTh2UN4. The functional is PBE-GGA.

Calculated values
- mass density (kg/m3) = 11100
- ΔE_f (raw) (eV/atom) = -1.524
- size of the total moment (μB/f.u.) = 0.7
- total energy (eV per cell) = -78.085

Geometry as POSCAR:
```
YTh2UN4
1.0
6.1021 0.0000 0.0000
0.0000 3.5467 0.0000
-2.0239 0.0000 5.8551
Y Th U N
1 2 1 4
direct
0.0000 0.0000 0.0000
0.0000 0.5000 0.5000
0.5000 0.0000 0.5000
0.5000 0.5000 0.0000
0.2598 0.5000 0.2259
0.2686 0.0000 0.7791
0.7314 0.0000 0.2209
0.7402 0.5000 0.7741
```

=====

This record from Alexandria via LeMat-Bulk describes an optimized crystal structure of Y2Th3UN6. The functional is PBE-GGA.

Calculated values
- mass density (kg/m3) = 10418
- ΔE_f (raw) (eV/atom) = -1.564
- size of the total moment (μB/f.u.) = 0.0
- total energy (eV per cell) = -115.199

Geometry as POSCAR:
```
Y2Th3UN6
1.0
3.0629 -5.2972 0.0000
3.0629 5.2972 0.0000
-2.0420 0.0000 5.8747
Y Th U N
2 3 1 6
direct
0.1669 0.8331 0.0000
0.8331 0.1669 0.0000
0.0000 0.0000 0.5000
0.3318 0.6682 0.5000
0.6682 0.3318 0.5000
0.5000 0.5000 0.0000
0.1115 0.4250 0.7759
0.2622 0.2622 0.2297
0.4250 0.1115 0.7759
0.5750 0.8885 0.2241
0.7378 0.7378 0.7703
0.8885 0.5750 0.2241
```

=====

This record from Alexandria via LeMat-Bulk describes an optimized crystal structure of Th2UZnN5. The functional is PBE-GGA.

Calculated values
- mass density (kg/m3) = 10885
- ΔE_f (raw) (eV/atom) = -1.185
- size of the total moment (μB/f.u.) = 0.6
- total energy (eV per cell) = -159.383

Geometry as POSCAR:
```
Th2UZnN5
1.0
1.7519 -6.9543 0.0000
1.7519 6.9543 0.0000
0.0000 0.0000 10.4870
Th U Zn N
4 2 2 10
direct
0.1102 0.8898 0.5000
0.1300 0.8700 0.1123
0.8700 0.1300 0.6123
0.8898 0.1102 0.0000
0.2021 0.7979 0.8181
0.7979 0.2021 0.3181
0.4834 0.5166 0.2824
0.5166 0.4834 0.7824
0.0515 0.9485 0.8662
0.2858 0.7142 0.4606
0.3016 0.6984 0.1793
0.3563 0.6437 0.8203
0.4945 0.5055 0.5896
0.5055 0.4945 0.0896
0.6437 0.3563 0.3203
0.6984 0.3016 0.6793
0.7142 0.2858 0.9606
0.9485 0.0515 0.3662
```

=====

This record from Alexandria via LeMat-Bulk describes an optimized crystal structure of Th2ZrUN4. The functional is PBE-GGA.

Calculated values
- mass density (kg/m3) = 11680
- ΔE_f (raw) (eV/atom) = -1.526
- size of the total moment (μB/f.u.) = 0.9
- total energy (eV per cell) = -80.186

Geometry as POSCAR:
```
Th2ZrUN4
1.0
5.9930 0.0000 0.0000
0.0000 3.4741 0.0000
-1.9664 0.0000 5.8000
Th Zr U N
2 1 1 4
direct
0.0000 0.0000 0.0000
0.5000 0.5000 0.0000
0.0000 0.5000 0.5000
0.5000 0.0000 0.5000
0.2394 0.0000 0.7169
0.2574 0.5000 0.2835
0.7426 0.5000 0.7165
0.7606 0.0000 0.2831
```

=====

This record from Alexandria via LeMat-Bulk describes an optimized crystal structure of ThZrU2N4. The functional is PBE-GGA.

Calculated values
- mass density (kg/m3) = 12194
- ΔE_f (raw) (eV/atom) = -1.445
- size of the total moment (μB/f.u.) = 2.5
- total energy (eV per cell) = -83.408

Geometry as POSCAR:
```
ThZrU2N4
1.0
5.9149 0.0000 0.0000
0.0000 3.4487 0.0000
-1.9817 0.0000 5.7099
Th Zr U N
1 1 2 4
direct
0.0000 0.0000 0.0000
0.0000 0.5000 0.5000
0.5000 0.0000 0.5000
0.5000 0.5000 0.0000
0.2511 0.0000 0.7298
0.2627 0.5000 0.2781
0.7373 0.5000 0.7219
0.7489 0.0000 0.2702
```

=====

This record from Alexandria via LeMat-Bulk describes an optimized crystal structure of Th3VN6. The functional is PBE-GGA.

Calculated values
- mass density (kg/m3) = 8778
- ΔE_f (raw) (eV/atom) = -1.388
- size of the total moment (μB/f.u.) = 0.0
- total energy (eV per cell) = -190.421

Geometry as POSCAR:
```
Th3VN6
1.0
4.7125 -5.9250 0.0000
4.7125 5.9250 0.0000
0.0000 0.0000 5.6306
Th V N
6 2 12
direct
0.1060 0.8940 0.5000
0.1959 0.4130 0.4708
0.4130 0.1959 0.9708
0.5870 0.8041 0.4708
0.8041 0.5870 0.9708
0.8940 0.1060 0.0000
0.3048 0.6952 0.9273
0.6952 0.3048 0.4273
0.0928 0.6122 0.7707
0.1507 0.1674 0.7292
0.1674 0.1507 0.2292
0.2888 0.7112 0.2595
0.3878 0.9072 0.7707
0.4452 0.5548 0.8074
0.5548 0.4452 0.3074
0.6122 0.0928 0.2707
0.7112 0.2888 0.7595
0.8326 0.8493 0.7292
0.8493 0.8326 0.2292
0.9072 0.3878 0.2707
```

=====

This record from Alexandria via LeMat-Bulk describes an optimized crystal structure of Th2VN. The functional is PBE-GGA.

Calculated values
- mass density (kg/m3) = 9880
- ΔE_f (raw) (eV/atom) = -0.032
- size of the total moment (μB/f.u.) = 2.3
- total energy (eV per cell) = -32.413

Geometry as POSCAR:
```
Th2VN
1.0
1.7140 0.9896 8.7361
-1.7140 0.9896 8.7361
0.0000 -1.9792 8.7361
Th V N
2 1 1
direct
0.1076 0.1076 0.1076
0.8924 0.8924 0.8924
0.0000 0.0000 0.0000
0.5000 0.5000 0.5000
```

=====

This record from Alexandria via LeMat-Bulk describes an optimized crystal structure of Th6WN12. The functional is PBE-GGA.

Calculated values
- mass density (kg/m3) = 9568
- ΔE_f (raw) (eV/atom) = -0.940
- size of the total moment (μB/f.u.) = 5.7
- total energy (eV per cell) = -175.241

Geometry as POSCAR:
```
Th6WN12
1.0
5.1428 2.9692 3.3039
-5.1428 2.9692 3.3039
0.0000 -5.9384 3.3039
Th W N
6 1 12
direct
0.1061 0.7932 0.6396
0.2068 0.3604 0.8939
0.3604 0.8939 0.2068
0.6396 0.1061 0.7932
0.7932 0.6396 0.1061
0.8939 0.2068 0.3604
0.5000 0.5000 0.5000
0.0547 0.9029 0.3236
0.0971 0.6764 0.9453
0.2058 0.4350 0.5425
0.3236 0.0547 0.9029
0.4350 0.5425 0.2058
0.4575 0.7942 0.5650
0.5425 0.2058 0.4350
0.5650 0.4575 0.7942
0.6764 0.9453 0.0971
0.7942 0.5650 0.4575
0.9029 0.3236 0.0547
0.9453 0.0971 0.6764
```

=====

This record from Alexandria via LeMat-Bulk describes an optimized crystal structure of ThWN2. The functional is PBE-GGA.

Calculated values
- mass density (kg/m3) = 14036
- ΔE_f (raw) (eV/atom) = -0.706
- size of the total moment (μB/f.u.) = 0.0
- total energy (eV per cell) = -39.849

Geometry as POSCAR:
```
ThWN2
1.0
1.6813 0.9707 5.3628
-1.6813 0.9707 5.3628
0.0000 -1.9414 5.3628
Th W N
1 1 2
direct
0.0000 0.0000 0.0000
0.5000 0.5000 0.5000
0.2354 0.2354 0.2354
0.7646 0.7646 0.7646
```

=====

This record from Alexandria via LeMat-Bulk describes an optimized crystal structure of Th3W5N12. The functional is PBE-GGA.

Calculated values
- mass density (kg/m3) = 10753
- ΔE_f (raw) (eV/atom) = -0.853
- size of the total moment (μB/f.u.) = 1.5
- total energy (eV per cell) = -815.967

Geometry as POSCAR:
```
Th3W5N12
1.0
-6.5061 6.5061 6.5061
6.5061 -6.5061 6.5061
6.5061 6.5061 -6.5061
Th W N
12 20 48
direct
0.1250 0.2500 0.3750
0.1250 0.3750 0.7500
0.2500 0.3750 0.1250
0.2500 0.8750 0.6250
0.3750 0.1250 0.2500
0.3750 0.7500 0.1250
0.6250 0.2500 0.8750
0.6250 0.8750 0.7500
0.7500 0.1250 0.3750
0.7500 0.6250 0.8750
0.8750 0.6250 0.2500
0.8750 0.7500 0.6250
0.0000 0.0000 0.0000
0.0000 0.0000 0.5000
0.0000 0.5000 0.0000
0.0000 0.5000 0.5000
0.1250 0.7500 0.8750
0.1250 0.8750 0.2500
0.2500 0.1250 0.8750
0.2500 0.6250 0.3750
0.3750 0.2500 0.6250
0.3750 0.6250 0.7500
0.5000 0.0000 0.0000
0.5000 0.0000 0.5000
0.5000 0.5000 0.0000
0.5000 0.5000 0.5000
0.6250 0.3750 0.2500
0.6250 0.7500 0.3750
0.7500 0.3750 0.6250
0.7500 0.8750 0.1250
0.8750 0.1250 0.7500
0.8750 0.2500 0.1250
0.0179 0.1989 0.1175
0.0179 0.3190 0.9004
0.0814 0.6989 0.6810
0.0814 0.8825 0.4004
0.0996 0.6175 0.4186
0.0996 0.9821 0.6810
0.1175 0.0179 0.1989
0.1175 0.5996 0.9186
0.1810 0.1989 0.5814
0.1810 0.4821 0.5996
0.1989 0.1175 0.0179
0.1989 0.5814 0.1810
0.3011 0.3190 0.9186
0.3011 0.4821 0.3825
0.3190 0.9004 0.0179
0.3190 0.9186 0.3011
0.3825 0.3011 0.4821
0.3825 0.5814 0.9004
0.4004 0.0814 0.8825
0.4004 0.8190 0.5179
0.4186 0.0996 0.6175
0.4186 0.8190 0.8011
0.4821 0.3825 0.3011
0.4821 0.5996 0.1810
0.5179 0.4004 0.8190
0.5179 0.6175 0.6989
0.5814 0.1810 0.1989
0.5814 0.9004 0.3825
0.5996 0.1810 0.4821
0.5996 0.9186 0.1175
0.6175 0.4186 0.0996
0.6175 0.6989 0.5179
0.6810 0.0814 0.6989
0.6810 0.0996 0.9821
0.6989 0.5179 0.6175
0.6989 0.6810 0.0814
0.8011 0.4186 0.8190
0.8011 0.8825 0.9821
0.8190 0.5179 0.4004
0.8190 0.8011 0.4186
0.8825 0.4004 0.0814
0.8825 0.9821 0.8011
0.9004 0.0179 0.3190
0.9004 0.3825 0.5814
0.9186 0.1175 0.5996
0.9186 0.3011 0.3190
0.9821 0.6810 0.0996
0.9821 0.8011 0.8825
```

=====

This record from Alexandria via LeMat-Bulk describes an optimized crystal structure of ThWN. The functional is PBE-GGA.

Calculated values
- mass density (kg/m3) = 11637
- ΔE_f (raw) (eV/atom) = -0.312
- size of the total moment (μB/f.u.) = 0.0
- total energy (eV per cell) = -59.266

Geometry as POSCAR:
```
ThWN
1.0
3.3723 0.0000 0.0000
0.0000 3.3723 0.0000
0.0000 0.0000 10.7882
Th W N
2 2 2
direct
0.2500 0.2500 0.1374
0.7500 0.7500 0.8626
0.2500 0.2500 0.4496
0.7500 0.7500 0.5504
0.2500 0.2500 0.9104
0.7500 0.7500 0.0896
```